# KLa2PuO8, optimized geometry, DFT PBE
data_KLa2PuO8
_chemical_formula_sum 'K1 La2 Pu1 O8'
_cell_length_a 4.272
_cell_length_b 8.405
_cell_length_c 5.447
_cell_angle_alpha 90.00
_cell_angle_beta 98.38
_cell_angle_gamma 90.00
_symmetry_space_group_name_H-M 'P 1 2/m 1'
_symmetry_Int_Tables_number 10
_symmetry_space_group_name_Hall '-P 2y'
loop_
_atom_site_label
_atom_site_type_symbol
_atom_site_fract_x
_atom_site_fract_y
_atom_site_fract_z
_atom_site_occupancy
K1 K 0.000 0.000 0.000 1
La1 La 0.500 0.278 0.500 1
Pu1 Pu 0.000 0.500 0.000 1
O1 O 0.057 0.314 0.767 1
O2 O 0.425 0.500 0.223 1
O3 O 0.464 0.000 0.632 1
# energy relative to the elements, uncorrected: -2523 meV/atom
# total magnetic moment: 1.000 μB per formula unit